VASP calculation (PBE+U) on a geometry-optimized NiMo2O6 structure.

Cell: 9.7447 3.9768 6.4122 Å, 90.00 115.01 90.00°
Space group C2/m (No. 12)
Inequivalent atoms, fractional coordinates:
1 Ni 0.0000 0.0000 0.0000
2 Mo 0.1844 0.0000 0.6304
3 O 0.0050 0.0000 0.7002
4 O 0.1520 0.5000 0.0993
5 O 0.1980 0.5000 0.5805

## Properties
magnetic moment: 4.0 μB/f.u.
calculated total energy: -6.58 eV/atom
calculated density: 5.11 g cm⁻³
calculated volume: 12.51 Å³ per atom